Record 1
# Ac4Rh2Cl | the Alexandria database | PBE-GGA | optimized geometry
# * symmetry: R-3m
# * total energy: -5.66 eV/atom
# * formation energy from raw total energies: -6.6 eV per formula unit
# * magnetization: 0.00 μB/atom
data_Ac4Rh2Cl
_cell_length_a 15.2189
_cell_length_b 15.2189
_cell_length_c 15.2189
_cell_angle_alpha 16.38
_cell_angle_beta 16.38
_cell_angle_gamma 16.38
_space_group_name_H-M_alt 'P 1'
_space_group_IT_number 1
_space_group_name_Hall 'P 1'
loop_
_atom_site_label
_atom_site_type_symbol
_atom_site_fract_x
_atom_site_fract_y
_atom_site_fract_z
Ac1 Ac 0.1240 0.1240 0.1240
Ac2 Ac 0.2805 0.2805 0.2805
Ac3 Ac 0.7195 0.7195 0.7195
Ac4 Ac 0.8760 0.8760 0.8760
Rh1 Rh 0.4219 0.4219 0.4219
Rh2 Rh 0.5781 0.5781 0.5781
Cl1 Cl 0.0000 0.0000 0.0000


Record 2
# Pa2PN3 | the Alexandria database | PBE-GGA | optimized geometry
# * symmetry: C2/m
# * total energy: -9.73 eV/atom
# * formation energy from raw total energies: -9.0 eV per formula unit
# * magnetization: 0.00 μB/atom
data_Pa2PN3
_cell_length_a 6.5905
_cell_length_b 6.5905
_cell_length_c 8.9751
_cell_angle_alpha 120.75
_cell_angle_beta 120.75
_cell_angle_gamma 34.03
_space_group_name_H-M_alt 'P 1'
_space_group_IT_number 1
_space_group_name_Hall 'P 1'
loop_
_atom_site_label
_atom_site_type_symbol
_atom_site_fract_x
_atom_site_fract_y
_atom_site_fract_z
Pa1 Pa 0.0306 0.0306 0.3003
Pa2 Pa 0.3223 0.3223 0.8981
Pa3 Pa 0.6777 0.6777 0.1019
Pa4 Pa 0.9694 0.9694 0.6997
P1 P 0.3706 0.3706 0.3924
P2 P 0.6294 0.6294 0.6076
N1 N 0.1575 0.1575 0.9452
N2 N 0.2086 0.2086 0.2943
N3 N 0.4793 0.4793 0.8343
N4 N 0.5207 0.5207 0.1657
N5 N 0.7914 0.7914 0.7057
N6 N 0.8425 0.8425 0.0548


Record 3
# Co2SiIr | the Alexandria database | PBE-GGA | optimized geometry
# * symmetry: R-3m
# * total energy: -7.26 eV/atom
# * formation energy from raw total energies: -0.5 eV per formula unit
# * magnetization: 0.37 μB/atom
data_Co2SiIr
_cell_length_a 8.0021
_cell_length_b 8.0021
_cell_length_c 8.0021
_cell_angle_alpha 19.11
_cell_angle_beta 19.11
_cell_angle_gamma 19.11
_space_group_name_H-M_alt 'P 1'
_space_group_IT_number 1
_space_group_name_Hall 'P 1'
loop_
_atom_site_label
_atom_site_type_symbol
_atom_site_fract_x
_atom_site_fract_y
_atom_site_fract_z
Co1 Co 0.2428 0.2428 0.2428
Co2 Co 0.7572 0.7572 0.7572
Si1 Si 0.5000 0.5000 0.5000
Ir1 Ir 0.0000 0.0000 0.0000


Record 4
# SiSn3Rh | the Alexandria database | PBE-GGA | optimized geometry
# * distance to the lowest polymorph of the same formula: 0 meV/atom
# * symmetry: Pm-3m
# * total energy: -4.63 eV/atom
# * formation energy from raw total energies: 1.6 eV per formula unit
# * magnetization: 0.00 μB/atom
data_SiSn3Rh
_cell_length_a 5.1061
_cell_length_b 5.1061
_cell_length_c 5.1061
_cell_angle_alpha 90.00
_cell_angle_beta 90.00
_cell_angle_gamma 90.00
_space_group_name_H-M_alt 'P 1'
_space_group_IT_number 1
_space_group_name_Hall 'P 1'
loop_
_atom_site_label
_atom_site_type_symbol
_atom_site_fract_x
_atom_site_fract_y
_atom_site_fract_z
Si1 Si 0.0000 0.0000 0.0000
Sn1 Sn 0.0000 0.5000 0.5000
Sn2 Sn 0.5000 0.0000 0.5000
Sn3 Sn 0.5000 0.5000 0.0000
Rh1 Rh 0.5000 0.5000 0.5000


Record 5
# HoErTlCo | the Alexandria database | PBE-GGA | optimized geometry
# * distance to the lowest polymorph of the same formula: 0 meV/atom
# * symmetry: P4mm
# * total energy: -4.92 eV/atom
# * E_form: -0.268 eV/atom
# * magnetization: 0.00 μB/atom
data_HoErTlCo
_cell_length_a 3.3414
_cell_length_b 3.3414
_cell_length_c 8.1641
_cell_angle_alpha 90.00
_cell_angle_beta 90.00
_cell_angle_gamma 90.00
_space_group_name_H-M_alt 'P 1'
_space_group_IT_number 1
_space_group_name_Hall 'P 1'
loop_
_atom_site_label
_atom_site_type_symbol
_atom_site_fract_x
_atom_site_fract_y
_atom_site_fract_z
Ho1 Ho 0.0000 0.0000 0.0000
Er1 Er 0.0000 0.0000 0.6052
Tl1 Tl 0.5000 0.5000 0.3037
Co1 Co 0.5000 0.5000 0.8010


Record 6
# CaNd2PuTe4 | the Alexandria database | PBE-GGA | optimized geometry
# * symmetry: I-4m2
# * total energy: -6.19 eV/atom
# * formation energy from raw total energies: -11.1 eV per formula unit
# * magnetization: 0.73 μB/atom
data_CaNd2PuTe4
_cell_length_a 7.7714
_cell_length_b 7.7714
_cell_length_c 7.7714
_cell_angle_alpha 131.86
_cell_angle_beta 131.86
_cell_angle_gamma 70.45
_space_group_name_H-M_alt 'P 1'
_space_group_IT_number 1
_space_group_name_Hall 'P 1'
loop_
_atom_site_label
_atom_site_type_symbol
_atom_site_fract_x
_atom_site_fract_y
_atom_site_fract_z
Ca1 Ca 0.0000 0.0000 0.0000
Nd1 Nd 0.5000 0.5000 0.0000
Nd2 Nd 0.7500 0.2500 0.5000
Pu1 Pu 0.2500 0.7500 0.5000
Te1 Te 0.0023 0.5023 0.5000
Te2 Te 0.2470 0.2470 0.0000
Te3 Te 0.4977 0.9977 0.5000
Te4 Te 0.7530 0.7530 0.0000


Record 7
# ZnAgOs2 | the Alexandria database | PBE-GGA | optimized geometry
# * symmetry: I4/mmm
# * total energy: -5.93 eV/atom
# * E_form: 0.712 eV/atom
# * magnetization: 0.00 μB/atom
data_ZnAgOs2
_cell_length_a 5.1104
_cell_length_b 5.1104
_cell_length_c 5.1104
_cell_angle_alpha 137.14
_cell_angle_beta 137.14
_cell_angle_gamma 62.22
_space_group_name_H-M_alt 'P 1'
_space_group_IT_number 1
_space_group_name_Hall 'P 1'
loop_
_atom_site_label
_atom_site_type_symbol
_atom_site_fract_x
_atom_site_fract_y
_atom_site_fract_z
Zn1 Zn 0.0000 0.0000 0.0000
Ag1 Ag 0.5000 0.5000 0.0000
Os1 Os 0.2500 0.7500 0.5000
Os2 Os 0.7500 0.2500 0.5000


Record 8
# K2Rh3O8 | the Alexandria database | PBE-GGA | optimized geometry
# * symmetry: C2/m
# * total energy: -5.85 eV/atom
# * formation energy from raw total energies: -12.1 eV per formula unit
# * magnetization: 0.00 μB/atom
data_K2Rh3O8
_cell_length_a 7.0745
_cell_length_b 7.0745
_cell_length_c 5.3254
_cell_angle_alpha 106.93
_cell_angle_beta 106.93
_cell_angle_gamma 52.74
_space_group_name_H-M_alt 'P 1'
_space_group_IT_number 1
_space_group_name_Hall 'P 1'
loop_
_atom_site_label
_atom_site_type_symbol
_atom_site_fract_x
_atom_site_fract_y
_atom_site_fract_z
K1 K 0.2259 0.2259 0.1754
K2 K 0.7741 0.7741 0.8246
Rh1 Rh 0.2417 0.7583 0.5000
Rh2 Rh 0.5000 0.5000 0.0000
Rh3 Rh 0.7583 0.2417 0.5000
O1 O 0.0928 0.0928 0.4740
O2 O 0.2011 0.6342 0.1262
O3 O 0.3658 0.7989 0.8738
O4 O 0.4144 0.4144 0.6002
O5 O 0.5856 0.5856 0.3998
O6 O 0.6342 0.2011 0.1262
O7 O 0.7989 0.3658 0.8738
O8 O 0.9072 0.9072 0.5260


Record 9
# Pm7ErTm2 | the Alexandria database | PBE-GGA | optimized geometry
# * symmetry: Cmmm
# * total energy: -4.02 eV/atom
# * E_form: 0.651 eV/atom
# * magnetization: 0.00 μB/atom
data_Pm7ErTm2
_cell_length_a 9.3292
_cell_length_b 9.3292
_cell_length_c 5.6126
_cell_angle_alpha 90.00
_cell_angle_beta 90.00
_cell_angle_gamma 123.65
_space_group_name_H-M_alt 'P 1'
_space_group_IT_number 1
_space_group_name_Hall 'P 1'
loop_
_atom_site_label
_atom_site_type_symbol
_atom_site_fract_x
_atom_site_fract_y
_atom_site_fract_z
Pm1 Pm 0.0000 0.0000 0.0000
Pm2 Pm 0.2085 0.4344 0.0000
Pm3 Pm 0.2840 0.7160 0.5000
Pm4 Pm 0.4344 0.2085 0.0000
Pm5 Pm 0.5656 0.7915 0.0000
Pm6 Pm 0.7160 0.2840 0.5000
Pm7 Pm 0.7915 0.5656 0.0000
Er1 Er 0.5000 0.5000 0.5000
Tm1 Tm 0.2052 0.7948 0.0000
Tm2 Tm 0.7948 0.2052 0.0000